# 1
# MgNiCS PBE optimized geometry
data_MgNiCS
_chemical_formula_sum 'Mg1 Ni1 C1 S1'
_symmetry_space_group_name_H-M 'P 1'
_symmetry_Int_Tables_number 1
_cell_length_a 4.4791
_cell_length_b 4.4791
_cell_length_c 4.5151
_cell_angle_alpha 98.48
_cell_angle_beta 98.48
_cell_angle_gamma 41.30
loop_
_symmetry_equiv_pos_as_xyz
'x,y,z'
loop_
_atom_site_label
_atom_site_type_symbol
_atom_site_fract_x
_atom_site_fract_y
_atom_site_fract_z
Mg1 Mg 0.0000 0.0000 0.0000
Ni1 Ni 0.7484 0.7484 0.2500
C1 C 0.2723 0.2723 0.0160
S1 S 0.3217 0.3217 0.6447
# * uncorrected formation energy: 0.69 eV/f.u.
# * ρ: 3.574 g cm⁻³
# * symmetry: No. 8

---

# 2
# MgNiCS PBE optimized geometry
data_MgNiCS
_chemical_formula_sum 'Mg1 Ni1 C1 S1'
_symmetry_space_group_name_H-M 'P 1'
_symmetry_Int_Tables_number 1
_cell_length_a 3.7231
_cell_length_b 3.7231
_cell_length_c 5.1173
_cell_angle_alpha 111.21
_cell_angle_beta 111.21
_cell_angle_gamma 59.30
loop_
_symmetry_equiv_pos_as_xyz
'x,y,z'
loop_
_atom_site_label
_atom_site_type_symbol
_atom_site_fract_x
_atom_site_fract_y
_atom_site_fract_z
Mg1 Mg 0.0000 0.0000 0.0000
Ni1 Ni 0.5539 0.5539 0.6471
C1 C 0.6863 0.6863 0.0522
S1 S 0.8089 0.8089 0.4226
# * uncorrected formation energy: 0.77 eV/f.u.
# * ρ: 3.805 g cm⁻³
# * symmetry: No. 8

---

# 3
# MgNiCS PBE optimized geometry
data_MgNiCS
_chemical_formula_sum 'Mg1 Ni1 C1 S1'
_symmetry_space_group_name_H-M 'P 1'
_symmetry_Int_Tables_number 1
_cell_length_a 5.6842
_cell_length_b 5.6842
_cell_length_c 5.6842
_cell_angle_alpha 33.30
_cell_angle_beta 33.30
_cell_angle_gamma 33.30
loop_
_symmetry_equiv_pos_as_xyz
'x,y,z'
loop_
_atom_site_label
_atom_site_type_symbol
_atom_site_fract_x
_atom_site_fract_y
_atom_site_fract_z
Mg1 Mg 0.0000 0.0000 0.0000
Ni1 Ni 0.4664 0.4664 0.4664
C1 C 0.7447 0.7447 0.7447
S1 S 0.2178 0.2178 0.2178
# * uncorrected formation energy: 0.71 eV/f.u.
# * ρ: 4.281 g cm⁻³
# * symmetry: No. 160